The following is a PBE-GGA calculation of BaNd2P after structural relaxation, from Alexandria.

Cell: 4.0410 4.0410 32.4907 Å, 90.00 90.00 120.00°
Space group R-3m (No. 166, hexagonal axes)
Inequivalent atoms, fractional coordinates:
1 Ba 0.0000 0.0000 0.0000
2 Nd 0.0000 0.0000 0.1173
3 P 0.0000 0.0000 0.5000

Computed properties:
E_form   -0.608 eV/atom
Calculated volume   38.3 Å³/atom
Final energy   -4.825 eV/atom
Total magnetic moment   0.0 Bohr magnetons per cell



The following is a PBE-GGA calculation of MgTc after structural relaxation, from Alexandria.

Cell: 2.679 2.679 4.458 Å, 90.00 90.00 90.00°
Space group P4/mmm (No. 123)
Inequivalent atoms, fractional coordinates:
1 Mg 0.000 0.000 0.000
2 Tc 0.500 0.500 0.500

Computed properties:
E_form   0.284 eV/atom
Relative energy among the computed polymorphs   29.8 kJ/mol of atoms
Calculated volume   16.0 Å³/atom
Final energy   -5.696 eV/atom
Total magnetic moment   0.0 Bohr magnetons per cell



The following is a PBE-GGA calculation of FePbBr2 after structural relaxation, from Alexandria.

Cell: 3.459 5.040 12.971 Å, 90.00 90.00 90.00°
Space group Imm2 (No. 44)
Inequivalent atoms, fractional coordinates:
1 Fe 0.000 0.000 0.000
2 Pb 0.000 0.500 0.687
3 Br 0.000 0.000 0.557
4 Br 0.000 0.500 0.359

Computed properties:
Relative energy among the computed polymorphs   14.8 kJ/mol of atoms
Calculated volume   28.3 Å³/atom
Formation energy without anion corrections   -0.11 eV/f.u.
Final energy   -3.907 eV/atom
Total magnetic moment   6.7 Bohr magnetons per cell



The following is a PBE-GGA calculation of CoReAu2 after structural relaxation, from Alexandria.

Cell: 2.784 2.784 7.924 Å, 90.00 90.00 90.00°
Space group P4mm (No. 99)
Inequivalent atoms, fractional coordinates:
1 Co 0.000 0.000 0.000
2 Re 0.500 0.500 0.191
3 Au 0.000 0.000 0.463
4 Au 0.500 0.500 0.751

Computed properties:
E_form   0.198 eV/atom
Relative energy among the computed polymorphs   0.0 kJ/mol of atoms
Calculated volume   15.4 Å³/atom
Final energy   -6.329 eV/atom
Total magnetic moment   0.7 Bohr magnetons per cell



The following is a PBE-GGA calculation of Nd2Cd after structural relaxation, from Alexandria.

Cell: 5.327 5.327 7.429 Å, 90.00 90.00 90.00°
Space group I4/mmm (No. 139)
Inequivalent atoms, fractional coordinates:
1 Nd 0.000 0.500 0.250
2 Cd 0.000 0.000 0.000

Computed properties:
E_form   0.083 eV/atom
Relative energy among the computed polymorphs   27.8 kJ/mol of atoms
Calculated volume   35.1 Å³/atom
Final energy   -3.400 eV/atom
Total magnetic moment   0.9 Bohr magnetons per cell



The following is a PBE-GGA calculation of V2Ga2Ge after structural relaxation, from Alexandria.

Cell: 6.578 6.578 3.577 Å, 90.00 90.00 90.00°
Space group P4/mbm (No. 127)
Inequivalent atoms, fractional coordinates:
1 V 0.173 0.327 0.000
2 Ga 0.130 0.630 0.500
3 Ge 0.000 0.000 0.500

Computed properties:
E_form   0.147 eV/atom
Relative energy among the computed polymorphs   25.4 kJ/mol of atoms
Calculated volume   15.5 Å³/atom
Final energy   -5.635 eV/atom
Total magnetic moment   5.7 Bohr magnetons per cell



The following is a PBE-GGA calculation of GeAuI2O after structural relaxation, from Alexandria.

Cell: 5.733 5.733 4.023 Å, 90.00 90.00 90.00°
Space group P4/mmm (No. 123)
Inequivalent atoms, fractional coordinates:
1 Ge 0.000 0.000 0.000
2 Au 0.500 0.500 0.500
3 I 0.000 0.500 0.500
4 O 0.500 0.500 0.000

Computed properties:
Relative energy among the computed polymorphs   35.6 kJ/mol of atoms
Calculated volume   26.4 Å³/atom
Formation energy without anion corrections   1.81 eV/f.u.
Final energy   -2.828 eV/atom
Total magnetic moment   0.0 Bohr magnetons per cell



The following is a PBE-GGA calculation of Cs2BCl5 after structural relaxation, from Alexandria.

Cell: 9.641 9.660 8.651 Å, 90.00 123.85 90.00°
Space group Cm (No. 8)
Inequivalent atoms, fractional coordinates:
1 Cs 0.000 0.250 0.000
2 B 0.009 0.000 0.499
3 Cl 0.191 0.000 0.499
4 Cl 0.239 0.000 0.976
5 Cl 0.264 0.500 0.026
6 Cl 0.419 0.342 0.500

Computed properties:
Calculated volume   41.8 Å³/atom
Formation energy without anion corrections   -11.34 eV/f.u.
Final energy   -3.620 eV/atom
Total magnetic moment   0.1 Bohr magnetons per cell



- Among the records above, which one has the lowest final energy?
  CoReAu2



- Number 8 is which compound?
  Cs2BCl5



- The highest total magnetic moment belongs to which entry?
  FePbBr2